# 1
ZrCuSn2 | GGA-PBE | optimized geometry

Properties
* E_tot: -4.87 eV per atom
* space-group type: No. 216
* spin magnetization: 0.23 μB per cell

a = 4.9788 Å, b = 4.9788 Å, c = 4.9788 Å
α = 60.00°, β = 60.00°, γ = 60.00°
Closest atoms and distances in Å follow each position.
Fractional coordinates of all 4 atoms:
Cu  0.2500  0.2500  0.2500  4 Sn 3.05, 4 Zr 3.05
Zr  0.5000  0.5000  0.5000  4 Cu 3.05, 4 Sn 3.05
Sn  0.7500  0.7500  0.7500  4 Zr 3.05, 4 Sn 3.05
Sn  0.0000  0.0000  0.0000  4 Cu 3.05, 4 Sn 3.05

***

# 2
Hf2FeIr | GGA-PBE | optimized geometry

Properties
* DFT formation energy: -0.67 eV/atom
* distance to the lowest polymorph of the same formula: 0.000 eV/atom
* space-group type: No. 225
* spin magnetization: 6.03 μB per cell

a = 4.5542 Å, b = 6.4439 Å, c = 13.6681 Å
α = 90.00°, β = 90.00°, γ = 90.00°
Closest atoms and distances in Å follow each position.
Fractional coordinates of all 24 atoms:
Ir  0.0000  0.0000  0.0000  8 Hf 2.79
Fe  0.5003  0.0000  0.8333  8 Hf 2.79
Fe  0.5000  0.0000  0.5000  8 Hf 2.79
Hf  0.0000  0.2500  0.5000  4 Fe 2.79, 4 Ir 2.79
Hf  0.4998  0.2501  0.3333  4 Fe 2.79, 4 Ir 2.79
Fe  0.0003  0.5000  0.6667  8 Hf 2.79
Hf  0.0002  0.7501  0.8333  4 Fe 2.79, 4 Ir 2.79
Ir  0.5000  0.5000  0.5000  8 Hf 2.79
Fe  0.9997  0.5000  0.3333  8 Hf 2.79
Ir  0.9997  0.0000  0.3333  8 Hf 2.79
Hf  0.9998  0.7501  0.1667  4 Fe 2.79, 4 Ir 2.79
Fe  0.0000  0.5000  0.0000  8 Hf 2.79
Ir  0.4997  0.5000  0.1667  8 Hf 2.79
Hf  0.5002  0.7499  0.6667  4 Fe 2.79, 4 Ir 2.79
Hf  0.5000  0.2500  0.0000  4 Fe 2.79, 4 Ir 2.79
Ir  0.5003  0.5000  0.8333  8 Hf 2.79
Hf  0.5000  0.7500  0.0000  4 Fe 2.79, 4 Ir 2.79
Ir  0.0003  0.0000  0.6667  8 Hf 2.79
Hf  0.0000  0.7500  0.5000  4 Fe 2.79, 4 Ir 2.79
Hf  0.4998  0.7499  0.3333  4 Fe 2.79, 4 Ir 2.79
Hf  0.5002  0.2501  0.6667  4 Fe 2.79, 4 Ir 2.79
Fe  0.4997  0.0000  0.1667  8 Hf 2.79
Hf  0.9998  0.2499  0.1667  4 Fe 2.79, 4 Ir 2.79
Hf  0.0002  0.2499  0.8333  4 Fe 2.79, 4 Ir 2.79

***

# 3
YHo2Pd3Pb3 | GGA-PBE | optimized geometry

Properties
* E_tot: -5.42 eV per atom
* space-group type: No. 38
* spin magnetization: 0.01 μB per cell

a = 3.8513 Å, b = 7.8521 Å, c = 7.8521 Å
α = 120.15°, β = 90.00°, γ = 90.00°
Closest atoms and distances in Å follow each position.
Fractional coordinates of all 9 atoms:
Pb  0.5000  0.7325  0.9998  4 Pd 2.85-2.91
Ho  0.0000  0.4002  0.0000  5 Pd 3.06-3.14, 6 Pb 3.24-3.38
Pd  0.5000  0.6669  0.3312  3 Pb 2.89-2.92, 4 Ho 3.06-3.07, 2 Y 3.09
Pd  0.5000  0.3312  0.6669  3 Pb 2.89-2.92, 4 Ho 3.06-3.07, 2 Y 3.09
Ho  0.0000  0.0000  0.4002  5 Pd 3.06-3.14, 6 Pb 3.24-3.38
Y  0.0000  0.6000  0.6000  5 Pd 3.09-3.14, 6 Pb 3.24-3.37
Pd  0.0000  0.0013  0.0013  6 Pb 2.84-2.85, 2 Ho 3.14, 1 Y 3.14
Pb  0.5000  0.2679  0.2679  4 Pd 2.84-2.92
Pb  0.5000  0.9998  0.7325  4 Pd 2.85-2.91

***

# 4
RbTl2PtBr6 | GGA-PBE | optimized geometry

Properties
* E_tot: -2.82 eV per atom
* space-group type: No. 225
* spin magnetization: 0.57 μB per cell

a = 8.0087 Å, b = 8.0087 Å, c = 8.0087 Å
α = 60.00°, β = 60.00°, γ = 60.00°
Closest atoms and distances in Å follow each position.
Fractional coordinates of all 10 atoms:
Rb  0.5000  0.5000  0.5000  6 Br 3.12
Pt  0.0000  0.0000  0.0000  6 Br 2.55
Br  0.7752  0.2248  0.7752  1 Pt 2.55
Br  0.2248  0.7752  0.2248  1 Pt 2.55
Br  0.2248  0.2248  0.7752  1 Pt 2.55
Tl  0.2500  0.2500  0.2500  12 Br 4.01
Tl  0.7500  0.7500  0.7500  12 Br 4.01
Br  0.7752  0.7752  0.2248  1 Pt 2.55
Br  0.2248  0.7752  0.7752  1 Pt 2.55
Br  0.7752  0.2248  0.2248  1 Pt 2.55

***

Q: Among the records above, which one has the lowest spin magnetization?
A: YHo2Pd3Pb3

***

Q: Which of these has the lowest spin magnetization?
A: YHo2Pd3Pb3

***

Q: The lowest spin magnetization belongs to which entry?
A: YHo2Pd3Pb3